No. 1
VASP calculation (PBE) on a relaxed MgReAg2 crystal.

Cell: 9.7155 9.7155 9.7155 Å, 16.87 16.87 16.87°
Last column: nearest neighbours and their distance in Å.
Fractional positions:
1 Ag 0.9998 0.9998 0.9998  6 Ag 2.85, 3 Mg 2.90, 3 Re 2.91
2 Ag 0.5002 0.5002 0.5002  6 Ag 2.85, 3 Mg 2.90, 3 Re 2.91
3 Mg 0.2500 0.2500 0.2500  6 Mg 2.85, 6 Ag 2.90
4 Re 0.7500 0.7500 0.7500  6 Re 2.85, 6 Ag 2.91

Computed properties:
symmetry = R-3m (166)

No. 2
VASP calculation (PBE) on a relaxed Mg3ReAg crystal.

Cell: 4.8848 4.8848 4.8848 Å, 90.00 90.00 90.00°
Last column: nearest neighbours and their distance in Å.
Fractional positions:
1 Re 0.5000 0.5000 0.5000  12 Mg 3.45
2 Mg 0.0000 0.5000 0.0000  2 Ag 2.44
3 Mg 0.0000 0.0000 0.5000  2 Ag 2.44
4 Mg 0.5000 0.0000 0.0000  2 Ag 2.44
5 Ag 0.0000 0.0000 0.0000  6 Mg 2.44

Computed properties:
symmetry = Pm-3m (221)
ΔE to the lowest computed polymorph = 76 meV/atom

Energy of formation across the listed records, respectively: 0.354, 1.128 eV/atom.